Material: Pm2Mg3In3
Method: DFT, GGA-PBE
State: optimized geometry

Cell and atoms, written as POSCAR:
```
Pm2Mg3In3
1.0
-2.864 2.135 3.093
1.096 -3.292 3.287
6.879 5.121 2.835
Pm Mg In
2 3 3
Cartesian
1.733 1.290 0.714 Pm
5.146 3.831 2.121 Pm
0.842 0.706 3.901 Mg
4.269 3.258 5.313 Mg
0.548 -1.646 1.643 Mg
3.988 0.915 3.061 In
-1.432 1.067 1.546 In
2.008 3.628 2.964 In
```

Calculated values
M_tot   0.00 μB/atom
ΔE_f   -359 meV per atom
SG   No. 47